Record 1
DFT (PBE) results for an optimized crystal structure of NdDy2As3.

a = 4.1661 Å, b = 4.1661 Å, c = 10.1974 Å
α = 90.00°, β = 90.00°, γ = 120.00°
Last column: nearest neighbours and their distance in Å.
Space group P-3m1 (No. 164)
Asymmetric unit:
Nd1 0.0000 0.0000 0.0000  6 As 2.99
Dy1 0.3333 0.6667 0.3372  6 As 2.92
As1 0.0000 0.0000 0.5000  6 Dy 2.92
As2 0.3333 0.6667 0.8252  3 Dy 2.92, 3 Nd 2.99

Results
V ... 25.5 Å³ per atom
Calculated total energy ... -6.1764 eV per atom
Crystal system ... trigonal


Record 2
DFT (PBE) results for an optimized crystal structure of NdDyAs.

a = 6.9365 Å, b = 6.9365 Å, c = 6.9365 Å
α = 90.00°, β = 90.00°, γ = 90.00°
Last column: nearest neighbours and their distance in Å.
Space group F-43m (No. 216)
Asymmetric unit:
Nd1 0.0000 0.0000 0.0000  4 As 3.00
Dy1 0.0000 0.0000 0.5000  4 As 3.00
As1 0.2500 0.2500 0.7500  4 Dy 3.00, 4 Nd 3.00

Results
V ... 27.8 Å³ per atom
Calculated total energy ... -5.4561 eV per atom
Crystal system ... cubic


Record 3
DFT (PBE) results for an optimized crystal structure of NdDyZn2As2O2.

a = 3.9970 Å, b = 3.9970 Å, c = 8.9575 Å
α = 90.00°, β = 90.00°, γ = 90.00°
Last column: nearest neighbours and their distance in Å.
Space group P4mm (No. 99)
Asymmetric unit:
Nd1 0.0000 0.0000 0.0000  4 O 2.35
Dy1 0.5000 0.5000 0.2539  4 O 2.25
Zn1 0.0000 0.5000 0.6303  4 As 2.56-2.58, 4 Zn 2.83
As1 0.0000 0.0000 0.4516  4 Zn 2.56
As2 0.5000 0.5000 0.8116  4 Zn 2.58
O1 0.0000 0.5000 0.1377  2 Dy 2.25, 2 Nd 2.35

Results
V ... 17.9 Å³ per atom
Calculated total energy ... -5.6975 eV per atom
Crystal system ... tetragonal